Material: Ba2SrP
Method: DFT, GGA-PBE
State: relaxed

The structure belongs to space group Imm2 (No. 44); the cell edges are 4.086, 5.639 and 15.134 Å and the angles 90.00°, 90.00° and 90.00°. The asymmetric unit holds Ba at (0.000, 0.000, 0.000), Ba at (0.000, 0.500, 0.158), Sr at (0.000, 0.500, 0.841) and P at (0.000, 0.000, 0.494).

Its energy of formation from the pure elements is -532 meV/atom. The calculation puts the total moment at 0.00 μB/f.u.